Entry 1:
CoW2 | PBE-GGA | relaxed

Geometry as POSCAR:
```
CoW2
1.0
0.0000 3.6486 3.6486
3.6486 0.0000 3.6486
3.6486 3.6486 0.0000
Co W
2 4
direct
0.1250 0.1250 0.1250 Co
0.8750 0.8750 0.8750 Co
0.0000 0.5000 0.5000 W
0.5000 0.0000 0.5000 W
0.5000 0.5000 0.0000 W
0.5000 0.5000 0.5000 W
```

Computed properties:
- E_tot (eV per cell) = -61.23
- polymorph energy (0 for the lowest one) (eV/atom) = 0.7917
- size of the total moment (μB per formula unit) = 1.17
- energy of formation (eV per atom) = 0.799

***

Entry 2:
BeCdW2 | PBE-GGA | relaxed

Geometry as POSCAR:
```
BeCdW2
1.0
-1.8669 1.8669 9.7030
1.8669 -1.8669 9.7030
1.8669 1.8669 -9.7030
Be Cd W
2 2 4
direct
0.0000 0.0000 0.0000 Be
0.7500 0.2500 0.5000 Be
0.2500 0.7500 0.5000 Cd
0.5000 0.5000 0.0000 Cd
0.1106 0.6250 0.9856 W
0.3750 0.3606 0.4856 W
0.6394 0.1250 0.0144 W
0.8750 0.8894 0.5144 W
```

Computed properties:
- E_tot (eV per cell) = -53.25
- polymorph energy (0 for the lowest one) (eV/atom) = 0.6290
- size of the total moment (μB per formula unit) = 0.00
- energy of formation (eV per atom) = 0.980